Record 1
Crystalline HfZr2SiB at its relaxed geometry, computed with PBEsol.

Results
**Electronic total energy**: -8.429 eV/atom
**Formation energy (no corrections)**: -0.14 eV per atom

a b c (Å): 4.6758 4.6758 3.9032
angles (deg): 90.00 90.00 90.00
Space group P4/mmm (No. 123)
Unique sites:
1 Hf 0.0000 0.0000 0.0000 x1
2 Zr 0.0000 0.5000 0.5000 x2
3 Si 0.5000 0.5000 0.0000 x1
4 B 0.5000 0.5000 0.5000 x1


Record 2
Crystalline HfSnB3 at its relaxed geometry, computed with PBEsol.

Results
**Electronic total energy**: -5.615 eV/atom
**Energy relative to the elements**: 1.548 eV/atom

a b c (Å): 4.4348 4.4348 4.4348
angles (deg): 90.00 90.00 90.00
Space group Pm-3m (No. 221)
Unique sites:
1 Hf 0.0000 0.0000 0.0000 x1
2 Sn 0.5000 0.5000 0.5000 x1
3 B 0.0000 0.0000 0.5000 x3


Record 3
Crystalline HfTaB2 at its relaxed geometry, computed with PBEsol.

Results
**Electronic total energy**: -10.113 eV/atom
**Energy relative to the elements**: -0.841 eV/atom

a b c (Å): 3.1509 3.3607 8.9335
angles (deg): 90.00 90.00 90.00
Space group Amm2 (No. 38)
Unique sites:
1 Hf 0.0000 0.0000 0.0000 x2
2 Ta 0.5000 0.0000 0.2886 x2
3 B 0.0000 0.0000 0.7073 x2
4 B 0.5000 0.0000 0.5949 x2


Record 4
Crystalline HfTaB4 at its relaxed geometry, computed with PBEsol.

Results
**Electronic total energy**: -9.450 eV/atom
**Energy relative to the elements**: -0.930 eV/atom

a b c (Å): 3.1066 3.1066 6.7223
angles (deg): 90.00 90.00 120.00
Space group P6/mmm (No. 191)
Unique sites:
1 Hf 0.0000 0.0000 0.0000 x1
2 Ta 0.0000 0.0000 0.5000 x1
3 B 0.3333 0.6667 0.2556 x4


Record 5
Crystalline HfTcB2 at its relaxed geometry, computed with PBEsol.

Results
**Electronic total energy**: -8.830 eV/atom
**Energy relative to the elements**: 0.120 eV/atom

a b c (Å): 3.7670 3.7670 15.0032
angles (deg): 90.00 90.00 90.00
Space group I4_1/amd (No. 141, origin choice 2)
Unique sites:
1 Hf 0.0000 0.2500 0.3750 x4
2 Tc 0.0000 0.2500 0.8750 x4
3 B 0.0000 0.0000 0.0000 x8


Record 6
Crystalline HfTcB3 at its relaxed geometry, computed with PBEsol.

Results
**Electronic total energy**: -6.518 eV/atom
**Distance to the lowest polymorph of the same formula**: 1.546 eV per atom
**Energy relative to the elements**: 2.045 eV/atom

a b c (Å): 4.1372 4.1372 4.1372
angles (deg): 90.00 90.00 90.00
Space group Pm-3m (No. 221)
Unique sites:
1 Hf 0.0000 0.0000 0.0000 x1
2 Tc 0.5000 0.5000 0.5000 x1
3 B 0.0000 0.0000 0.5000 x3


Record 7
Crystalline HfTcB3 at its relaxed geometry, computed with PBEsol.

Results
**Electronic total energy**: -8.064 eV/atom
**Distance to the lowest polymorph of the same formula**: 0.000 eV per atom
**Energy relative to the elements**: 0.500 eV/atom

a b c (Å): 3.9505 3.9505 3.9505
angles (deg): 90.00 90.00 90.00
Space group Pm-3m (No. 221)
Unique sites:
1 Hf 0.0000 0.0000 0.0000 x1
2 Tc 0.5000 0.5000 0.5000 x1
3 B 0.0000 0.5000 0.5000 x3


Record 8
Crystalline Hf2TcB2 at its relaxed geometry, computed with PBEsol.

Results
**Electronic total energy**: -10.110 eV/atom
**Energy relative to the elements**: -0.849 eV/atom

a b c (Å): 6.1501 6.1501 3.3441
angles (deg): 90.00 90.00 90.00
Space group P4/mbm (No. 127)
Unique sites:
1 Hf 0.1833 0.3167 0.0000 x4
2 Tc 0.0000 0.0000 0.5000 x2
3 B 0.1051 0.6051 0.5000 x4